Record 1
Compound: PmSmTl
Source: Alexandria via LeMat-Bulk
Functional: PBE
Structure: relaxed

Calculated values
**Offset from the most stable computed form**: 218 meV/atom
**Formation enthalpy at 0 K**: -0.048 eV/atom
**Energy**: -3.993 eV per atom

a b c (Å): 5.2985 5.2985 5.2985
angles (deg): 60.00 60.00 60.00
Fractional positions:
Tl 0.2500 0.2500 0.2500
Sm 0.0000 0.0000 0.0000
Pm 0.5000 0.5000 0.5000


Record 2
Compound: PuNpTcRu
Source: Alexandria via LeMat-Bulk
Functional: PBE
Structure: relaxed

Calculated values
**Formation enthalpy at 0 K**: 0.065 eV/atom
**Energy**: -11.663 eV per atom

a b c (Å): 4.5519 4.5519 4.5519
angles (deg): 60.00 60.00 60.00
Fractional positions:
Np 0.2500 0.2500 0.2500
Ru 0.7500 0.7500 0.7500
Tc 0.0000 0.0000 0.0000
Pu 0.5000 0.5000 0.5000


Record 3
Compound: LiHPtSe
Source: Alexandria via LeMat-Bulk
Functional: PBE
Structure: relaxed

Calculated values
**Offset from the most stable computed form**: 0 meV/atom
**Energy**: -4.125 eV per atom

a b c (Å): 3.9294 3.5386 4.5545
angles (deg): 90.00 115.41 90.00
Fractional positions:
Li 0.8804 0.0000 0.8607
H 0.5550 0.0000 0.2049
Pt 0.5560 0.5000 0.2082
Se 0.2541 0.5000 0.6091


Record 4
Compound: IrC3
Source: Alexandria via LeMat-Bulk
Functional: PBE
Structure: relaxed

Calculated values
**Offset from the most stable computed form**: 132 meV/atom
**Formation enthalpy at 0 K**: 0.848 eV/atom
**Energy**: -8.285 eV per atom

a b c (Å): 2.6098 6.6186 8.4470
angles (deg): 90.00 90.00 90.00
Fractional positions:
C 0.0000 0.1880 0.7852
C 0.0000 0.8120 0.7852
C 0.0000 0.6880 0.2852
C 0.0000 0.3120 0.2852
C 0.5000 0.1880 0.2852
C 0.5000 0.8120 0.2852
C 0.5000 0.6880 0.7852
C 0.5000 0.3120 0.7852
C 0.0000 0.0000 0.8911
C 0.0000 0.5000 0.3911
C 0.5000 0.0000 0.3911
C 0.5000 0.5000 0.8911
Ir 0.0000 0.0000 0.5807
Ir 0.0000 0.5000 0.0807
Ir 0.5000 0.0000 0.0807
Ir 0.5000 0.5000 0.5807